1.
## Mo2WSe (PBE)

Data for Mo2WSe after structural relaxation.

```
Mo2WSe
1.0
1.593 -2.332 0.000
1.593 2.332 0.000
0.000 0.000 8.903
Mo W Se
2 1 1
Direct
0.000 0.000 0.000
0.500 0.500 0.241
0.000 0.000 0.483
0.500 0.500 0.744
```

* space group: Cmm2
* energy relative to the elements, uncorrected: 0.418 eV/atom
* N(E_F): 3.665 states/eV/f.u.


2.
## Al2TlCr (PBE)

Data for Al2TlCr after structural relaxation.

```
Al2TlCr
1.0
4.713 0.000 0.000
0.000 4.713 0.000
0.000 0.000 3.342
Al Tl Cr
2 1 1
Direct
0.000 0.500 0.000
0.500 0.000 0.000
0.000 0.000 0.500
0.500 0.500 0.500
```

* space group: P4/mmm
* energy relative to the elements: 0.424 eV/atom
* N(E_F): 2.194 states/eV/f.u.


3.
## KZrIn (PBE)

Data for KZrIn after structural relaxation.

```
KZrIn
1.0
5.800 0.000 0.000
-2.900 5.023 0.000
0.000 0.000 11.243
K Zr In
2 2 2
Direct
0.333 0.667 0.250
0.667 0.333 0.750
0.000 0.000 0.000
0.000 0.000 0.500
0.000 0.000 0.250
0.000 0.000 0.750
```

* space group: P6_3/mmc
* energy relative to the elements: 1.351 eV/atom
* N(E_F): 7.115 states/eV/f.u.